[1]
## Li2Ga3Cu4 (PBE)

Data for a relaxed structure of Li2Ga3Cu4.

Geometry as CIF:
```
data_Li2Ga3Cu4
_chemical_formula_sum 'Li4 Ga6 Cu8'
_space_group_name_H-M_alt 'P 1'
_space_group_IT_number 1
_space_group_name_Hall 'P 1'
_cell_length_a 5.3018
_cell_length_b 6.8449
_cell_length_c 7.9564
_cell_angle_alpha 90.00
_cell_angle_beta 109.46
_cell_angle_gamma 90.00
loop_
_atom_site_label
_atom_site_type_symbol
_atom_site_fract_x
_atom_site_fract_y
_atom_site_fract_z
Li1 Li 0.0884 0.6148 0.1768
Li2 Li 0.9116 0.3852 0.8232
Li3 Li 0.4116 0.1148 0.8232
Li4 Li 0.5884 0.8852 0.1768
Ga1 Ga 0.0000 0.0000 0.0000
Ga2 Ga 0.5000 0.5000 0.0000
Ga3 Ga 0.4996 0.7500 0.4991
Ga4 Ga 0.0004 0.2500 0.5009
Ga5 Ga 0.5004 0.2500 0.5009
Ga6 Ga 0.9996 0.7500 0.4991
Cu1 Cu 0.6712 0.7500 0.8424
Cu2 Cu 0.8288 0.2500 0.1576
Cu3 Cu 0.3288 0.2500 0.1576
Cu4 Cu 0.1712 0.7500 0.8424
Cu5 Cu 0.1645 0.9940 0.3290
Cu6 Cu 0.8355 0.0060 0.6710
Cu7 Cu 0.3355 0.4940 0.6710
Cu8 Cu 0.6645 0.5060 0.3290
```

As for the space group: Cmce. Its crystal system is orthorhombic.


[2]
## ZrReAg (PBE)

Data for a relaxed structure of ZrReAg.

Geometry as CIF:
```
data_ZrReAg
_chemical_formula_sum 'Zr1 Re1 Ag1'
_space_group_name_H-M_alt 'P 1'
_space_group_IT_number 1
_space_group_name_Hall 'P 1'
_cell_length_a 7.1898
_cell_length_b 7.1898
_cell_length_c 7.1898
_cell_angle_alpha 157.71
_cell_angle_beta 157.71
_cell_angle_gamma 31.72
loop_
_atom_site_label
_atom_site_type_symbol
_atom_site_fract_x
_atom_site_fract_y
_atom_site_fract_z
Ag1 Ag 0.9943 0.9943 0.0000
Re1 Re 0.3365 0.3365 0.0000
Zr1 Zr 0.6692 0.6692 0.0000
```

As for the space group: I4mm. Its crystal system is tetragonal.


The records above yield theoretical density values of 5.82 11.98 g/cm³, respectively.
The records above yield formation enthalpy at 0 K values of -0.1376 0.3410 eV per atom, respectively.
The records above yield N(E_F) values of 0.469 0.938 states/eV/atom, respectively.